Below is a relaxed TlNiP2 crystal, with properties calculated at the PBE-GGA level.

For the formation energy, the calculation gives -3 kJ/mol of formula units. For the energy above the most stable polymorph in this dataset, the calculation gives 0.45 eV/f.u. For the spin magnetization, the calculation gives 0.0 Bohr magnetons per cell. Its total energy is -4.75 eV/atom.

a b c (Å): 4.1409 3.3591 6.1695
angles (deg): 90.00 100.38 90.00
Last column: nearest neighbours and their distance in Å.
Sites, in units of the cell vectors:
Tl1 0.0000 0.0000 0.0000  4 Ni 3.23-3.40, 5 P 3.24-3.57, 2 Tl 3.36
Ni1 0.4456 0.5000 0.6749  4 P 2.15-2.29
P1 0.5764 0.0000 0.4545  2 P 2.22, 2 Ni 2.29
P2 0.9272 0.5000 0.5446  2 Ni 2.15-2.28, 2 P 2.22